CuTeP, optimized geometry, DFT PBE; energy relative to the lowest polymorph listed for this composition = 0.202 eV per atom; total energy = -3.839 eV per atom; SG = F-43m; formation energy without anion corrections = 1.13 eV per formula unit; total moment = 0.00 μB/cell
1.0
0.0000 3.1275 3.1275
3.1275 0.0000 3.1275
3.1275 3.1275 0.0000
Cu Te P
1 1 1
direct
0.0000 0.0000 0.0000
0.2500 0.2500 0.2500
0.7500 0.7500 0.7500